No. 1
A geometry-optimized SmDy2Y4Sc structure, computed with PBE.

Calculated values
DFT formation energy: 0.303 eV per formula unit

Cell: 3.5415 6.1149 11.7142 Å, 79.90 90.00 90.00°
Fractional coordinates of all 8 atoms:
Sm (0.0000, 0.5000, 0.5000)
Dy (0.0000, 0.0000, 0.0000)
Dy (0.5000, 0.0000, 0.5000)
Y (0.0000, 0.7462, 0.7565)
Y (0.0000, 0.2538, 0.2435)
Y (0.5000, 0.7502, 0.2463)
Y (0.5000, 0.2498, 0.7537)
Sc (0.5000, 0.5000, 0.0000)

No. 2
A geometry-optimized Mg2Ru structure, computed with PBE.

Calculated values
DFT formation energy: 1.629 eV per formula unit

Cell: 5.2588 5.2588 5.2588 Å, 60.00 60.00 60.00°
Fractional coordinates of all 6 atoms:
Mg (0.1250, 0.6250, 0.1250)
Mg (0.1250, 0.1250, 0.6250)
Mg (0.6250, 0.1250, 0.1250)
Mg (0.1250, 0.1250, 0.1250)
Ru (0.7500, 0.7500, 0.7500)
Ru (0.5000, 0.5000, 0.5000)

No. 3
A geometry-optimized TiAl2I8 structure, computed with PBE.

Calculated values
raw formation energy: -0.651 eV per atom

Cell: 6.9472 8.7702 8.7702 Å, 80.11 85.22 85.22°
Fractional coordinates of all 11 atoms:
Ti (0.0000, 0.0000, 0.0000)
Al (0.6456, 0.8092, 0.8092)
Al (0.3544, 0.1908, 0.1908)
I (0.2256, 0.2705, 0.9167)
I (0.7744, 0.0833, 0.7295)
I (0.2686, 0.8153, 0.8153)
I (0.7314, 0.1847, 0.1847)
I (0.2256, 0.9167, 0.2705)
I (0.7744, 0.7295, 0.0833)
I (0.7698, 0.6260, 0.6260)
I (0.2302, 0.3740, 0.3740)

No. 4
A geometry-optimized Ba2NiAsBr structure, computed with PBE.

Calculated values
raw formation energy: -0.994 eV per atom

Cell: 6.0819 6.0819 4.3946 Å, 90.00 90.00 90.00°
Fractional coordinates of all 5 atoms:
Ni (0.0000, 0.0000, 0.0000)
As (0.0000, 0.0000, 0.5000)
Ba (0.0000, 0.5000, 0.0000)
Ba (0.5000, 0.0000, 0.0000)
Br (0.5000, 0.5000, 0.5000)

No. 5
A geometry-optimized BaMnRe2 structure, computed with PBE.

Calculated values
DFT formation energy: 2.136 eV per formula unit

Cell: 4.3372 4.3372 6.5764 Å, 70.79 70.79 59.98°
Fractional coordinates of all 4 atoms:
Ba (0.5031, 0.5031, 0.4911)
Mn (0.6969, 0.6969, 0.9091)
Re (0.9934, 0.9934, 0.0195)
Re (0.3066, 0.3066, 0.0802)

No. 6
A geometry-optimized SrPdW structure, computed with PBE.

Calculated values
DFT formation energy: 5.526 eV per formula unit

Cell: 5.5252 5.5252 9.5977 Å, 90.00 90.00 120.00°
Fractional coordinates of all 6 atoms:
Sr (0.3333, 0.6667, 0.2500)
Sr (0.6667, 0.3333, 0.7500)
Pd (0.0000, 0.0000, 0.0000)
Pd (0.0000, 0.0000, 0.5000)
W (0.0000, 0.0000, 0.2500)
W (0.0000, 0.0000, 0.7500)

Uncorrected energy: -5.73; -3.61; -3.18; -4.18; -8.46; -4.77 (eV/atom)